The following is a DFT calculation (PBE) of Y5In4Au after structural relaxation.

The structure in POSCAR format:
```
Y5In4Au
1.0
3.592 0.000 0.000
0.000 3.592 0.000
0.000 0.000 20.219
Y In Au
5 4 1
Direct
0.000 0.000 0.000
0.000 0.000 0.206
0.000 0.000 0.411
0.000 0.000 0.589
0.000 0.000 0.794
0.500 0.500 0.103
0.500 0.500 0.308
0.500 0.500 0.692
0.500 0.500 0.897
0.500 0.500 0.500
```

## Properties
* electronic total energy: -52.314 eV/cell
* formation enthalpy at 0 K: -576.2 meV/atom

---

The following is a DFT calculation (PBE) of YIn2Au after structural relaxation.

The structure in POSCAR format:
```
YIn2Au
1.0
3.476 0.000 0.000
0.000 3.476 0.000
0.000 0.000 7.724
Y In Au
1 2 1
Direct
0.000 0.000 0.000
0.500 0.500 0.282
0.500 0.500 0.718
0.000 0.000 0.500
```

## Properties
* electronic total energy: -16.552 eV/cell
* formation enthalpy at 0 K: -333.4 meV/atom

---

The following is a DFT calculation (PBE) of YIn2Au after structural relaxation.

The structure in POSCAR format:
```
YIn2Au
1.0
0.000 3.596 3.596
3.596 0.000 3.596
3.596 3.596 0.000
Y In Au
1 2 1
Direct
0.000 0.000 0.000
0.250 0.250 0.250
0.750 0.750 0.750
0.500 0.500 0.500
```

## Properties
* electronic total energy: -16.467 eV/cell
* formation enthalpy at 0 K: -312.2 meV/atom

---

The following is a DFT calculation (PBE) of Y4InAu after structural relaxation.

The structure in POSCAR format:
```
Y4InAu
1.0
7.445 0.000 0.000
0.000 7.310 0.000
-0.309 0.000 7.039
Y In Au
8 2 2
Direct
0.155 0.164 0.172
0.155 0.336 0.672
0.332 0.648 0.126
0.332 0.852 0.626
0.668 0.148 0.374
0.668 0.352 0.874
0.845 0.664 0.328
0.845 0.836 0.828
0.500 0.000 0.000
0.500 0.500 0.500
0.000 0.000 0.500
0.000 0.500 0.000
```

## Properties
* electronic total energy: -66.851 eV/cell
* energy relative to the lowest polymorph listed for this composition: 210 meV per atom
* formation enthalpy at 0 K: -258.9 meV/atom

---

The following is a DFT calculation (PBE) of YIn2Au after structural relaxation.

The structure in POSCAR format:
```
YIn2Au
1.0
3.597 0.000 0.000
0.000 4.789 0.000
-0.744 0.000 5.674
Y In Au
1 2 1
Direct
0.000 0.000 0.000
0.367 0.500 0.740
0.633 0.500 0.260
0.500 0.000 0.500
```

## Properties
* electronic total energy: -16.859 eV/cell
* formation enthalpy at 0 K: -410.3 meV/atom

---

The following is a DFT calculation (PBE) of Y2In2Au after structural relaxation.

The structure in POSCAR format:
```
Y2In2Au
1.0
7.313 0.000 0.000
0.000 7.313 0.000
0.000 0.000 4.750
Y In Au
4 4 2
Direct
0.168 0.332 0.000
0.332 0.832 0.000
0.668 0.168 0.000
0.832 0.668 0.000
0.139 0.639 0.500
0.361 0.139 0.500
0.639 0.861 0.500
0.861 0.361 0.500
0.000 0.000 0.500
0.500 0.500 0.500
```

## Properties
* electronic total energy: -48.548 eV/cell
* energy relative to the lowest polymorph listed for this composition: 0 meV per atom
* formation enthalpy at 0 K: -518.4 meV/atom

---

The following is a DFT calculation (PBE) of YIn2Au after structural relaxation.

The structure in POSCAR format:
```
YIn2Au
1.0
5.734 -1.948 0.000
5.734 1.948 0.000
-2.000 0.000 4.366
Y In Au
1 2 1
Direct
0.000 0.000 0.000
0.229 0.229 0.730
0.771 0.771 0.270
0.500 0.500 0.500
```

## Properties
* electronic total energy: -16.715 eV/cell
* formation enthalpy at 0 K: -374.2 meV/atom

---

The following is a DFT calculation (PBE) of YIn2Au after structural relaxation.

The structure in POSCAR format:
```
YIn2Au
1.0
3.670 0.000 0.000
0.000 4.442 0.000
-1.682 0.000 6.053
Y In Au
1 2 1
Direct
0.000 0.000 0.000
0.336 0.500 0.675
0.727 0.000 0.470
0.573 0.500 0.167
```

## Properties
* electronic total energy: -16.917 eV/cell
* formation enthalpy at 0 K: -424.6 meV/atom

---

The following is a DFT calculation (PBE) of YbIn4Au2 after structural relaxation.

The structure in POSCAR format:
```
YbIn4Au2
1.0
7.821 0.000 0.000
0.000 4.608 0.000
-2.849 0.000 9.248
Yb In Au
2 8 4
Direct
0.174 0.250 0.289
0.826 0.750 0.711
0.094 0.250 0.622
0.103 0.250 0.929
0.466 0.750 0.869
0.499 0.750 0.371
0.501 0.250 0.629
0.534 0.250 0.131
0.897 0.750 0.071
0.906 0.750 0.378
0.273 0.750 0.557
0.275 0.750 0.081
0.725 0.250 0.919
0.727 0.250 0.443
```

## Properties
* electronic total energy: -43.641 eV/cell
* formation enthalpy at 0 K: -398.0 meV/atom

---

The following is a DFT calculation (PBE) of Zn2In2Au after structural relaxation.

The structure in POSCAR format:
```
Zn2In2Au
1.0
-1.814 1.814 8.151
1.814 -1.814 8.151
1.814 1.814 -8.151
Zn In Au
2 2 1
Direct
0.250 0.750 0.500
0.750 0.250 0.500
0.100 0.100 0.000
0.900 0.900 0.000
0.500 0.500 0.000
```

## Properties
* electronic total energy: -11.015 eV/cell
* energy relative to the lowest polymorph listed for this composition: 76 meV per atom
* formation enthalpy at 0 K: 57.5 meV/atom

---

The following is a DFT calculation (PBE) of Zn2InAu6 after structural relaxation.

The structure in POSCAR format:
```
Zn2InAu6
1.0
6.191 -2.162 0.000
6.191 2.162 0.000
-4.362 0.000 6.710
Zn In Au
2 1 6
Direct
0.202 0.202 0.317
0.798 0.798 0.683
0.000 0.000 0.500
0.071 0.071 0.911
0.270 0.270 0.850
0.419 0.419 0.658
0.581 0.581 0.342
0.730 0.730 0.150
0.929 0.929 0.089
```

## Properties
* electronic total energy: -25.651 eV/cell
* energy relative to the lowest polymorph listed for this composition: 55 meV per atom
* formation enthalpy at 0 K: -77.8 meV/atom

---

The following is a DFT calculation (PBE) of ZnIn2Au after structural relaxation.

The structure in POSCAR format:
```
ZnIn2Au
1.0
3.494 0.000 0.000
0.000 3.904 0.000
-0.903 0.000 6.377
Zn In Au
1 2 1
Direct
0.000 0.000 0.000
0.497 0.500 0.749
0.503 0.500 0.251
0.000 0.000 0.500
```

## Properties
* electronic total energy: -9.994 eV/cell
* formation enthalpy at 0 K: 8.5 meV/atom